[1]
Here is crystalline YSb2Au2 at its relaxed geometry from the Alexandria database. Energies are from GGA-PBE.

SG: P4/mbm, No. 127
V: 237.8 Å³ per cell
Uncorrected formation energy: -0.431 eV per atom
DOS at the Fermi energy: 2.53 states/eV/f.u.

Unit cell a=7.758 b=7.758 c=3.950 alpha=90.00 beta=90.00 gamma=90.00
Positions (direct):
Au 0.624 0.124 0.000
Au 0.124 0.376 0.000
Au 0.376 0.876 0.000
Sb 0.685 0.815 0.500
Y 0.500 0.500 0.000
Au 0.876 0.624 0.000
Sb 0.315 0.185 0.500
Y 0.000 0.000 0.000
Sb 0.815 0.315 0.500
Sb 0.185 0.685 0.500

[2]
Here is crystalline Y2SbAu2 at its relaxed geometry from the Alexandria database. Energies are from GGA-PBE.

SG: I4/mmm, No. 139
V: 138.1 Å³ per cell
Uncorrected formation energy: -0.543 eV per atom
DOS at the Fermi energy: 3.64 states/eV/f.u.

Unit cell a=5.138 b=5.138 c=6.370 alpha=66.22 beta=66.22 gamma=90.00
Positions (direct):
Y 0.250 0.750 0.500
Au 0.374 0.374 0.252
Au 0.626 0.626 0.748
Y 0.750 0.250 0.500
Sb 0.000 0.000 0.000

> V of number 2 (Y2SbAu2)?

138.1 Å³ per cell

> Which formula does entry 1 have?

YSb2Au2

Repeat the second record exactly.
Here is crystalline Y2SbAu2 at its relaxed geometry from the Alexandria database. Energies are from GGA-PBE.

SG: I4/mmm, No. 139
V: 138.1 Å³ per cell
Uncorrected formation energy: -0.543 eV per atom
DOS at the Fermi energy: 3.64 states/eV/f.u.

Unit cell a=5.138 b=5.138 c=6.370 alpha=66.22 beta=66.22 gamma=90.00
Positions (direct):
Y 0.250 0.750 0.500
Au 0.374 0.374 0.252
Au 0.626 0.626 0.748
Y 0.750 0.250 0.500
Sb 0.000 0.000 0.000